SiSb2TePb: optimized geometry, PBE.

The calculated total energy is -18.561 eV for the cell shown. The uncorrected formation energy is 0.39 eV per atom. For the energy above the most stable polymorph in this dataset, the calculation gives 0 meV/atom.

The space group is P4/mmm (No. 123) and the conventional cell measures 5.281, 5.281 and 5.348 Å, with angles of 90.00, 90.00 and 90.00 degrees. The asymmetric unit holds Si at (0.000, 0.000, 0.000), Sb at (0.000, 0.500, 0.000), Te at (0.000, 0.000, 0.500) and Pb at (0.500, 0.500, 0.500).



NdErZnIr: optimized geometry, PBE.

The calculated total energy is -43.413 eV for the cell shown. For the energy above the most stable polymorph in this dataset, the calculation gives 0 meV/atom. The value obtained for the energy of formation is -560 meV per atom.

The space group is Amm2 (No. 38) and the conventional cell measures 4.326, 3.973 and 10.818 Å, with angles of 90.00, 90.00 and 90.00 degrees. The asymmetric unit holds Nd at (0.000, 0.000, 0.000), Er at (0.500, 0.000, 0.719), Zn at (0.500, 0.000, 0.424) and Ir at (0.000, 0.000, 0.282).



CdMo3Se: optimized geometry, PBE.

The calculated total energy is -31.856 eV for the cell shown. The uncorrected formation energy is 1.01 eV per atom. For the energy above the most stable polymorph in this dataset, the calculation gives 0 meV/atom.

The space group is Pm-3m (No. 221) and the conventional cell measures 4.634, 4.634 and 4.634 Å, with angles of 90.00, 90.00 and 90.00 degrees. The asymmetric unit holds Cd at (0.000, 0.000, 0.000), Mo at (0.000, 0.500, 0.500) and Se at (0.500, 0.500, 0.500).



Zr2CdRh: optimized geometry, PBE.

The calculated total energy is -26.879 eV for the cell shown. The value obtained for the energy of formation is -379 meV per atom.

The space group is P4mm (No. 99) and the conventional cell measures 3.331, 3.331 and 7.224 Å, with angles of 90.00, 90.00 and 90.00 degrees. The asymmetric unit holds Zr at (0.000, 0.000, 0.000), Zr at (0.500, 0.500, 0.284), Cd at (0.000, 0.000, 0.565) and Rh at (0.500, 0.500, 0.804).



CaAcPm2: optimized geometry, PBE.

The calculated total energy is -30.779 eV for the cell shown. For the energy above the most stable polymorph in this dataset, the calculation gives 0 meV/atom. The value obtained for the energy of formation is 55 meV per atom.

The space group is P2_1/m (No. 11) and the conventional cell measures 3.781, 5.977 and 13.971 Å, with angles of 90.00, 97.30 and 90.00 degrees. The asymmetric unit holds Ca at (0.197, 0.250, 0.419), Ac at (0.360, 0.250, 0.696), Pm at (0.034, 0.750, 0.074) and Pm at (0.428, 0.750, 0.846).



CdAgHAu2: optimized geometry, PBE.

The calculated total energy is -13.106 eV for the cell shown. For the energy above the most stable polymorph in this dataset, the calculation gives 0 meV/atom.

The space group is P4/mmm (No. 123) and the conventional cell measures 4.184, 4.184 and 4.448 Å, with angles of 90.00, 90.00 and 90.00 degrees. The asymmetric unit holds Cd at (0.000, 0.000, 0.000), Ag at (0.500, 0.500, 0.000), H at (0.500, 0.500, 0.500) and Au at (0.000, 0.500, 0.500).



PO: optimized geometry, PBE.

The calculated total energy is -24.119 eV for the cell shown. The uncorrected formation energy is -0.85 eV per atom. For the energy above the most stable polymorph in this dataset, the calculation gives 225 meV/atom.

The space group is P1 (No. 1) and the conventional cell measures 2.562, 4.935 and 5.719 Å, with angles of 96.05, 90.02 and 91.73 degrees. The asymmetric unit holds P at (0.000, 0.000, 0.000), P at (0.013, 0.203, 0.534), O at (0.013, 0.209, 0.244) and O at (0.525, 0.418, 0.592).



CaMoW2: optimized geometry, PBE.

The calculated total energy is -70.930 eV for the cell shown. For the energy above the most stable polymorph in this dataset, the calculation gives 298 meV/atom. The value obtained for the energy of formation is 819 meV per atom.

The space group is Cm (No. 8) and the conventional cell measures 9.451, 2.683 and 5.719 Å, with angles of 90.00, 90.18 and 90.00 degrees. The asymmetric unit holds Ca at (0.000, 0.000, 0.000), Mo at (0.249, 0.000, 0.741), W at (0.249, 0.500, 0.271) and W at (0.497, 0.000, 0.500).